Computed, not measured: a relaxed structure of KNaTeSe3 at the PBE level of DFT.

a b c (Å): 7.7661 7.5239 8.1417
angles (deg): 117.52 90.00 90.00
Closest atoms and distances in Å follow each position.
Element x y z (fractional)
1 Se 0.2500 0.2126 0.4253  1 Te 2.52
2 Se 0.5000 0.7361 0.0000  2 Te 2.83, 2 Na 2.93
3 Se 0.5000 0.2639 0.0000  2 Te 2.83, 2 Na 2.93
4 Se 0.0000 0.7361 0.0000  2 Te 2.83, 2 Na 2.93
5 Se 0.7500 0.7874 0.5747  1 Te 2.52
6 Se 0.0000 0.2639 0.0000  2 Te 2.83, 2 Na 2.93
7 Te 0.2500 0.0381 0.0762  1 Se 2.52
8 Te 0.7500 0.9619 0.9238  1 Se 2.52
9 K 0.7500 0.3073 0.6145  8 Se 3.77-4.12, 3 Na 4.07-4.16
10 K 0.2500 0.6927 0.3855  8 Se 3.77-4.12, 3 Na 4.07-4.16
11 Na 0.2500 0.4107 0.8214  5 Se 2.86-2.93
12 Na 0.7500 0.5893 0.1786  5 Se 2.86-2.93

Summary:
Calculated total energy in eV per atom: -3.22
Formation energy from raw total energies in meV per atom: -556
Symmetry: Cmcm
Crystal system: orthorhombic